(1)
VASP calculation (PBE) on Ce2Y5Ru4 after structural relaxation.

Calculated values
E = -0.55038 Ry/atom
density = 6.6 g/cm3
M_tot = 0.53 μB/f.u.
E_form = -0.098 eV per atom

Cell lengths 24.0785, 3.4396, 7.0712 Å; angles 90.00, 104.88, 90.00 degrees
Space group C2/m (No. 12)
Asymmetric unit:
1 Ce 0.2290 0.0000 0.2664
2 Y 0.0000 0.0000 0.5000
3 Y 0.0872 0.5000 0.2206
4 Y 0.1303 0.5000 0.7739
5 Ru 0.0278 0.5000 0.8348
6 Ru 0.1731 0.0000 0.4966


(2)
VASP calculation (PBE) on CsZr2Ru after structural relaxation.

Calculated values
E = -0.43048 Ry/atom
density = 7.8 g/cm3
M_tot = 0.00 μB/f.u.
E_form = 0.949 eV per atom

Cell lengths 7.0701, 7.0701, 7.0701 Å; angles 90.00, 90.00, 90.00 degrees
Space group Fm-3m (No. 225)
Asymmetric unit:
1 Cs 0.0000 0.0000 0.0000
2 Zr 0.2500 0.2500 0.2500
3 Ru 0.0000 0.0000 0.5000


(3)
VASP calculation (PBE) on HfSi3Os after structural relaxation.

Calculated values
E = -0.41586 Ry/atom
density = 6.5 g/cm3
M_tot = 2.45 μB/f.u.
formation energy from raw total energies = 1.832 eV/atom

Cell lengths 4.8799, 4.8799, 4.8799 Å; angles 90.00, 90.00, 90.00 degrees
Space group Pm-3m (No. 221)
Asymmetric unit:
1 Hf 0.0000 0.0000 0.0000
2 Si 0.0000 0.0000 0.5000
3 Os 0.5000 0.5000 0.5000


(4)
VASP calculation (PBE) on TbHo2Er after structural relaxation.

Calculated values
E = -0.33660 Ry/atom
density = 8.7 g/cm3
M_tot = 0.02 μB/f.u.
E_form = 0.007 eV per atom

Cell lengths 6.2149, 5.6068, 7.1856 Å; angles 90.00, 90.04, 90.00 degrees
Space group P2_1/m (No. 11)
Asymmetric unit:
1 Tb 0.0831 0.2500 0.3744
2 Ho 0.4168 0.7500 0.3742
3 Ho 0.4169 0.7500 0.8751
4 Er 0.0827 0.2500 0.8757


(5)
VASP calculation (PBE) on InOs2Pt after structural relaxation.

Calculated values
E = -0.54102 Ry/atom
density = 17.2 g/cm3
M_tot = 0.00 μB/f.u.
E_form = 0.449 eV per atom

Cell lengths 2.8239, 4.7433, 9.9351 Å; angles 90.00, 90.00, 90.00 degrees
Space group Imm2 (No. 44)
Asymmetric unit:
1 In 0.0000 0.0000 0.0000
2 Os 0.0000 0.0000 0.4737
3 Os 0.0000 0.5000 0.7621
4 Pt 0.0000 0.5000 0.2274


(6)
VASP calculation (PBE) on AlSiAs2 after structural relaxation.

Calculated values
E = -0.32403 Ry/atom
density = 4.5 g/cm3
M_tot = 0.00 μB/f.u.
formation energy from raw total energies = 0.207 eV/atom

Cell lengths 3.6110, 3.8189, 10.9894 Å; angles 90.00, 90.00, 90.00 degrees
Space group Immm (No. 71)
Asymmetric unit:
1 Al 0.0000 0.0000 0.0000
2 Si 0.0000 0.0000 0.5000
3 As 0.0000 0.5000 0.1735


(7)
VASP calculation (PBE) on K4Tl2Br after structural relaxation.

Calculated values
E = -0.14249 Ry/atom
density = 2.9 g/cm3
M_tot = 0.00 μB/f.u.
formation energy from raw total energies = -0.397 eV/atom

Cell lengths 6.7221, 6.7221, 16.5276 Å; angles 90.00, 90.00, 90.00 degrees
Space group I4/mmm (No. 139)
Asymmetric unit:
1 K 0.0000 0.0000 0.1944
2 K 0.0000 0.5000 0.0000
3 Tl 0.0000 0.0000 0.4098
4 Br 0.0000 0.0000 0.0000


(8)
VASP calculation (PBE) on RbScSe2 after structural relaxation.

Calculated values
E = -0.37142 Ry/atom
density = 4.2 g/cm3
M_tot = 0.00 μB/f.u.
formation energy from raw total energies = -1.486 eV/atom

Cell lengths 3.9749, 7.2001, 8.0324 Å; angles 90.00, 90.00, 90.00 degrees
Space group Pmmn (No. 59, origin choice 2)
Asymmetric unit:
1 Rb 0.2500 0.2500 0.0712
2 Sc 0.2500 0.7500 0.4413
3 Se 0.2500 0.0172 0.6860


(9)
VASP calculation (PBE) on BeTcRh4 after structural relaxation.

Calculated values
E = -0.49759 Ry/atom
density = 9.6 g/cm3
M_tot = 1.57 μB/f.u.
E_form = 0.480 eV per atom

Cell lengths 7.1103, 7.1103, 7.1103 Å; angles 90.00, 90.00, 90.00 degrees
Space group F-43m (No. 216)
Asymmetric unit:
1 Be 0.0000 0.0000 0.0000
2 Tc 0.2500 0.2500 0.7500
3 Rh 0.1254 0.1254 0.3746


(10)
VASP calculation (PBE) on Ni2IrAu after structural relaxation.

Calculated values
E = -0.41674 Ry/atom
density = 14.9 g/cm3
M_tot = 1.52 μB/f.u.
E_form = 0.255 eV per atom

Cell lengths 2.7463, 4.6323, 8.8983 Å; angles 90.00, 90.00, 90.00 degrees
Space group Cmmm (No. 65)
Asymmetric unit:
1 Ni 0.0000 0.0000 0.2391
2 Ir 0.0000 0.5000 0.0000
3 Au 0.0000 0.5000 0.5000


(11)
VASP calculation (PBE) on Tl3WI after structural relaxation.

Calculated values
E = -0.26997 Ry/atom
density = 8.8 g/cm3
M_tot = 3.15 μB/f.u.
formation energy from raw total energies = 0.647 eV/atom

Cell lengths 5.5935, 5.5935, 5.5935 Å; angles 90.00, 90.00, 90.00 degrees
Space group Pm-3m (No. 221)
Asymmetric unit:
1 Tl 0.0000 0.0000 0.5000
2 W 0.0000 0.0000 0.0000
3 I 0.5000 0.5000 0.5000


(12)
VASP calculation (PBE) on Mn2SeCl after structural relaxation.

Calculated values
E = -0.45052 Ry/atom
density = 4.7 g/cm3
M_tot = 8.77 μB/f.u.
formation energy from raw total energies = -0.212 eV/atom

Cell lengths 3.5657, 3.4186, 6.5472 Å; angles 90.00, 90.08, 90.00 degrees
Space group P2/m (No. 10)
Asymmetric unit:
1 Mn 0.0033 0.0000 0.1986
2 Se 0.5000 0.5000 0.0000
3 Cl 0.0000 0.5000 0.5000


(13)
VASP calculation (PBE) on SrSmMgAu after structural relaxation.

Calculated values
E = -0.23011 Ry/atom
density = 6.7 g/cm3
M_tot = 0.00 μB/f.u.
E_form = -0.313 eV per atom

Cell lengths 7.6851, 7.6851, 7.6851 Å; angles 90.00, 90.00, 90.00 degrees
Space group F-43m (No. 216)
Asymmetric unit:
1 Sr 0.0000 0.0000 0.0000
2 Sm 0.0000 0.0000 0.5000
3 Mg 0.2500 0.2500 0.7500
4 Au 0.2500 0.2500 0.2500


(14)
VASP calculation (PBE) on Dy5Tm2Cd after structural relaxation.

Calculated values
E = -0.30215 Ry/atom
density = 8.7 g/cm3
M_tot = 0.00 μB/f.u.
E_form = -0.002 eV per atom

Cell lengths 8.0737, 8.0737, 7.3569 Å; angles 90.00, 90.00, 90.00 degrees
Space group I4mm (No. 107)
Asymmetric unit:
1 Dy 0.0000 0.0000 0.0000
2 Dy 0.2252 0.2252 0.3133
3 Tm 0.0000 0.5000 0.0683
4 Cd 0.0000 0.0000 0.5785


(15)
VASP calculation (PBE) on Li2Mg after structural relaxation.

Calculated values
E = -0.13284 Ry/atom
density = 1.1 g/cm3
M_tot = 0.00 μB/f.u.
E_form = 0.000 eV per atom

Cell lengths 7.8180, 7.8180, 7.8180 Å; angles 90.00, 90.00, 90.00 degrees
Space group Fd-3m (No. 227, origin choice 2)
Asymmetric unit:
1 Li 0.0000 0.0000 0.0000
2 Mg 0.1250 0.1250 0.6250


(16)
VASP calculation (PBE) on AsPCSe2 after structural relaxation.

Calculated values
E = -0.24675 Ry/atom
density = 4.2 g/cm3
M_tot = 0.95 μB/f.u.
formation energy from raw total energies = 1.893 eV/atom

Cell lengths 4.8596, 4.8596, 4.6631 Å; angles 90.00, 90.00, 90.00 degrees
Space group P4/mmm (No. 123)
Asymmetric unit:
1 As 0.0000 0.0000 0.0000
2 P 0.0000 0.0000 0.5000
3 C 0.5000 0.5000 0.0000
4 Se 0.0000 0.5000 0.5000


(17)
VASP calculation (PBE) on Tm2CdNi2 after structural relaxation.

Calculated values
E = -0.34998 Ry/atom
density = 9.5 g/cm3
M_tot = 0.00 μB/f.u.
E_form = -0.478 eV per atom

Cell lengths 3.9612, 14.1557, 3.5287 Å; angles 90.00, 90.00, 90.00 degrees
Space group Cmmm (No. 65)
Asymmetric unit:
1 Tm 0.0000 0.1403 0.0000
2 Cd 0.0000 0.5000 0.5000
3 Ni 0.0000 0.3011 0.5000


(18)
VASP calculation (PBE) on AcMgN after structural relaxation.

Calculated values
E = -0.37768 Ry/atom
density = 6.0 g/cm3
M_tot = 0.00 μB/f.u.
formation energy from raw total energies = -0.462 eV/atom

Cell lengths 3.5371, 7.1460, 11.5895 Å; angles 90.00, 90.00, 90.00 degrees
Space group Cmc2_1 (No. 36)
Asymmetric unit:
1 Ac 0.0000 0.2149 0.0000
2 Mg 0.0000 0.4681 0.2298
3 N 0.0000 0.1011 0.6023


(19)
VASP calculation (PBE) on ErCuRh after structural relaxation.

Calculated values
E = -0.43572 Ry/atom
density = 10.4 g/cm3
M_tot = 0.00 μB/f.u.
E_form = -0.591 eV per atom

Cell lengths 4.1984, 9.5749, 5.3177 Å; angles 90.00, 90.00, 90.00 degrees
Space group Cmcm (No. 63)
Asymmetric unit:
1 Er 0.0000 0.2018 0.2500
2 Cu 0.0000 0.5000 0.0000
3 Rh 0.0000 0.0930 0.7500


(20)
VASP calculation (PBE) on CaSbTe2I after structural relaxation.

Calculated values
E = -0.20122 Ry/atom
density = 4.5 g/cm3
M_tot = 0.00 μB/f.u.
formation energy from raw total energies = 0.054 eV/atom

Cell lengths 5.9301, 5.9301, 5.6835 Å; angles 90.00, 90.00, 90.00 degrees
Space group P4/mmm (No. 123)
Asymmetric unit:
1 Ca 0.0000 0.0000 0.0000
2 Sb 0.5000 0.5000 0.5000
3 Te 0.0000 0.5000 0.0000
4 I 0.0000 0.0000 0.5000


(21)
VASP calculation (PBE) on BaCd9Rh2 after structural relaxation.

Calculated values
E = -0.16710 Ry/atom
density = 8.3 g/cm3
M_tot = 0.00 μB/f.u.
E_form = -0.202 eV per atom

Cell lengths 11.8026, 11.8026, 7.7567 Å; angles 90.00, 90.00, 90.00 degrees
Space group I4_1/amd (No. 141, origin choice 2)
Asymmetric unit:
1 Ba 0.0000 0.2500 0.3750
2 Cd 0.0000 0.2500 0.8750
3 Cd 0.1218 0.0471 0.6909
4 Rh 0.0000 0.0000 0.0000


(22)
VASP calculation (PBE) on YAl2Ag after structural relaxation.

Calculated values
E = -0.32823 Ry/atom
density = 4.9 g/cm3
M_tot = 0.00 μB/f.u.
E_form = -0.266 eV per atom

Cell lengths 4.4272, 4.4272, 14.9775 Å; angles 90.00, 90.00, 120.00 degrees
Space group R3m (No. 160, hexagonal axes)
Asymmetric unit:
1 Y 0.0000 0.0000 0.0000
2 Al 0.0000 0.0000 0.5092
3 Al 0.0000 0.0000 0.7827
4 Ag 0.0000 0.0000 0.2103


(23)
VASP calculation (PBE) on YBePd5 after structural relaxation.

Calculated values
E = -0.42127 Ry/atom
density = 9.2 g/cm3
M_tot = 0.00 μB/f.u.
E_form = -0.567 eV per atom

Cell lengths 4.0324, 4.0324, 6.9643 Å; angles 90.00, 90.00, 90.00 degrees
Space group P4/mmm (No. 123)
Asymmetric unit:
1 Y 0.0000 0.0000 0.0000
2 Be 0.5000 0.5000 0.5000
3 Pd 0.0000 0.5000 0.3047
4 Pd 0.5000 0.5000 0.0000


(24)
VASP calculation (PBE) on KCd2Au after structural relaxation.

Calculated values
E = -0.11554 Ry/atom
density = 7.1 g/cm3
M_tot = 0.00 μB/f.u.
E_form = -0.021 eV per atom

Cell lengths 4.3822, 4.7846, 5.1218 Å; angles 90.00, 90.00, 90.00 degrees
Space group Pmmm (No. 47)
Asymmetric unit:
1 K 0.0000 0.0000 0.0000
2 Cd 0.0000 0.5000 0.5000
3 Cd 0.5000 0.0000 0.5000
4 Au 0.5000 0.5000 0.0000


(25)
VASP calculation (PBE) on KC2 after structural relaxation.

Calculated values
E = -0.26557 Ry/atom
density = 2.8 g/cm3
M_tot = 0.00 μB/f.u.
E_form = 2.902 eV per atom

Cell lengths 6.7009, 6.7009, 6.7009 Å; angles 90.00, 90.00, 90.00 degrees
Space group Fd-3m (No. 227, origin choice 2)
Asymmetric unit:
1 K 0.1250 0.1250 0.1250
2 C 0.0000 0.0000 0.5000


(26)
VASP calculation (PBE) on YZrZn after structural relaxation.

Calculated values
E = -0.39757 Ry/atom
density = 5.8 g/cm3
M_tot = 0.00 μB/f.u.
E_form = 0.020 eV per atom

Cell lengths 4.8685, 4.8685, 3.4380 Å; angles 90.00, 90.00, 120.00 degrees
Space group P3m1 (No. 156)
Asymmetric unit:
1 Y 0.0000 0.0000 0.0000
2 Zr 0.6667 0.3333 0.5045
3 Zn 0.3333 0.6667 0.4851